Below is a relaxed structure of Te4WCl, with properties calculated at the PBE level.

Properties
The calculation puts the volume at 28.31 Å³ per atom. As for the uncorrected formation energy: 1074 meV per atom. Its density of states at the Fermi level is 3.1 states/eV per cell. The total moment is 3.32 μB/f.u. The crystal system is cubic.

Cell and atoms, written as POSCAR:
```
Te4WCl
1.0
0.0000 4.3956 4.3956
4.3956 0.0000 4.3956
4.3956 4.3956 0.0000
Te W Cl
4 1 1
direct
0.1249 0.1249 0.1249
0.1249 0.1249 0.6254
0.1249 0.6254 0.1249
0.6254 0.1249 0.1249
0.7500 0.7500 0.7500
0.5000 0.5000 0.5000
```

=====

Below is a relaxed structure of Er3BiPd12, with properties calculated at the PBE level.

Properties
The calculation puts the volume at 17.38 Å³ per atom. As for the formation enthalpy at 0 K: -0.74 eV per atom. Its density of states at the Fermi level is 7.9 states/eV per cell. The total moment is 0.00 μB/f.u. The crystal system is tetragonal.

Cell and atoms, written as POSCAR:
```
Er3BiPd12
1.0
4.1110 0.0000 0.0000
0.0000 4.1110 0.0000
0.0000 0.0000 16.4523
Er Bi Pd
3 1 12
direct
0.0000 0.0000 0.0000
0.0000 0.0000 0.2460
0.0000 0.0000 0.7540
0.0000 0.0000 0.5000
0.0000 0.5000 0.1247
0.0000 0.5000 0.3744
0.0000 0.5000 0.6256
0.0000 0.5000 0.8753
0.5000 0.0000 0.1247
0.5000 0.0000 0.3744
0.5000 0.0000 0.6256
0.5000 0.0000 0.8753
0.5000 0.5000 0.0000
0.5000 0.5000 0.2518
0.5000 0.5000 0.5000
0.5000 0.5000 0.7482
```

=====

Below is a relaxed structure of Mg2NiAgN, with properties calculated at the PBE level.

Properties
The calculation puts the volume at 14.21 Å³ per atom. As for the uncorrected formation energy: -273 meV per atom. Its density of states at the Fermi level is 2.6 states/eV per cell. The total moment is 0.00 μB/f.u. The crystal system is tetragonal.

Cell and atoms, written as POSCAR:
```
Mg2NiAgN
1.0
4.3780 0.0000 0.0000
0.0000 4.3780 0.0000
0.0000 0.0000 3.7057
Mg Ni Ag N
2 1 1 1
direct
0.0000 0.5000 0.0000
0.5000 0.0000 0.0000
0.0000 0.0000 0.5000
0.5000 0.5000 0.5000
0.0000 0.0000 0.0000
```

=====

Below is a relaxed structure of Hf3Nb2Ga4, with properties calculated at the PBE level.

Properties
The calculation puts the volume at 18.53 Å³ per atom. As for the formation enthalpy at 0 K: -0.33 eV per atom. Its density of states at the Fermi level is 4.0 states/eV per cell. The total moment is 0.00 μB/f.u. The crystal system is monoclinic.

Cell and atoms, written as POSCAR:
```
Hf3Nb2Ga4
1.0
5.7258 -2.0517 0.0000
5.7258 2.0517 0.0000
-4.9236 0.0000 7.0991
Hf Nb Ga
3 2 4
direct
0.0000 0.0000 0.0000
0.3455 0.3455 0.3200
0.6545 0.6545 0.6800
0.3438 0.3438 0.6721
0.6562 0.6562 0.3279
0.0447 0.0447 0.3903
0.3135 0.3135 0.9702
0.6865 0.6865 0.0298
0.9553 0.9553 0.6097
```

=====

Below is a relaxed structure of Zr3AsI, with properties calculated at the PBE level.

Properties
The calculation puts the volume at 26.68 Å³ per atom. As for the uncorrected formation energy: 232 meV per atom. For the energy above the most stable polymorph in this dataset, the calculation gives 0 meV/atom. Its density of states at the Fermi level is 10.2 states/eV per cell. The total moment is 0.00 μB/f.u. The crystal system is cubic.

Cell and atoms, written as POSCAR:
```
Zr3AsI
1.0
5.1098 0.0000 0.0000
0.0000 5.1098 0.0000
0.0000 0.0000 5.1098
Zr As I
3 1 1
direct
0.0000 0.0000 0.5000
0.0000 0.5000 0.0000
0.5000 0.0000 0.0000
0.0000 0.0000 0.0000
0.5000 0.5000 0.5000
```

=====

Below is a relaxed structure of La2SiP3Rh12, with properties calculated at the PBE level.

Properties
The calculation puts the volume at 18.29 Å³ per atom. As for the uncorrected formation energy: -351 meV per atom. Its density of states at the Fermi level is 13.6 states/eV per cell. The total moment is 0.00 μB/f.u. The crystal system is trigonal.

Cell and atoms, written as POSCAR:
```
La2SiP3Rh12
1.0
4.0064 2.3131 5.9194
-4.0064 2.3131 5.9194
0.0000 -4.6262 5.9194
La Si P Rh
2 1 3 12
direct
0.1114 0.1114 0.1114
0.8886 0.8886 0.8886
0.5000 0.5000 0.5000
0.0000 0.5000 0.5000
0.5000 0.0000 0.5000
0.5000 0.5000 0.0000
0.1349 0.6223 0.6223
0.1536 0.1536 0.5974
0.1536 0.5974 0.1536
0.3777 0.3777 0.8651
0.3777 0.8651 0.3777
0.4026 0.8464 0.8464
0.5974 0.1536 0.1536
0.6223 0.1349 0.6223
0.6223 0.6223 0.1349
0.8464 0.4026 0.8464
0.8464 0.8464 0.4026
0.8651 0.3777 0.3777
```

=====

Below is a relaxed structure of VPtRh3, with properties calculated at the PBE level.

Properties
The calculation puts the volume at 17.30 Å³ per atom. For the energy above the most stable polymorph in this dataset, the calculation gives 957 meV/atom. As for the formation enthalpy at 0 K: 0.80 eV per atom. Its density of states at the Fermi level is 8.9 states/eV per cell. The total moment is 0.00 μB/f.u. The crystal system is cubic.

Cell and atoms, written as POSCAR:
```
VPtRh3
1.0
4.4222 0.0000 0.0000
0.0000 4.4222 0.0000
0.0000 0.0000 4.4222
V Pt Rh
1 1 3
direct
0.0000 0.0000 0.0000
0.5000 0.5000 0.5000
0.0000 0.0000 0.5000
0.0000 0.5000 0.0000
0.5000 0.0000 0.0000
```

=====

Below is a relaxed structure of LiPrGeRh, with properties calculated at the PBE level.

Properties
The calculation puts the volume at 18.41 Å³ per atom. As for the formation enthalpy at 0 K: -0.53 eV per atom. Its density of states at the Fermi level is 5.1 states/eV per cell. The total moment is 0.00 μB/f.u. The crystal system is cubic.

Cell and atoms, written as POSCAR:
```
LiPrGeRh
1.0
0.0000 3.3269 3.3269
3.3269 0.0000 3.3269
3.3269 3.3269 0.0000
Li Pr Ge Rh
1 1 1 1
direct
0.0000 0.0000 0.0000
0.7500 0.7500 0.7500
0.2500 0.2500 0.2500
0.5000 0.5000 0.5000
```

=====

Below is a relaxed structure of Tb2HoPt, with properties calculated at the PBE level.

Properties
The calculation puts the volume at 27.54 Å³ per atom. For the energy above the most stable polymorph in this dataset, the calculation gives 0 meV/atom. As for the formation enthalpy at 0 K: -0.71 eV per atom. Its density of states at the Fermi level is 16.5 states/eV per cell. The total moment is 0.00 μB/f.u. The crystal system is orthorhombic.

Cell and atoms, written as POSCAR:
```
Tb2HoPt
1.0
7.0385 0.0000 0.0000
0.0000 9.6410 0.0000
0.0000 0.0000 6.4944
Tb Ho Pt
8 4 4
direct
0.1813 0.0607 0.1786
0.1813 0.4393 0.1786
0.3187 0.5607 0.6786
0.3187 0.9393 0.6786
0.6813 0.0607 0.3214
0.6813 0.4393 0.3214
0.8187 0.5607 0.8214
0.8187 0.9393 0.8214
0.0275 0.2500 0.6334
0.4725 0.7500 0.1334
0.5275 0.2500 0.8666
0.9725 0.7500 0.3666
0.1117 0.7500 0.9509
0.3883 0.2500 0.4509
0.6117 0.7500 0.5491
0.8883 0.2500 0.0491
```

=====

Below is a relaxed structure of BeSiCl2, with properties calculated at the PBE level.

Properties
The calculation puts the volume at 21.21 Å³ per atom. As for the uncorrected formation energy: -260 meV per atom. For the energy above the most stable polymorph in this dataset, the calculation gives 108 meV/atom. Its density of states at the Fermi level is 0.7 states/eV per cell. The total moment is 0.00 μB/f.u. The crystal system is orthorhombic.

Cell and atoms, written as POSCAR:
```
BeSiCl2
1.0
1.5638 -3.1043 0.0000
1.5638 3.1043 0.0000
0.0000 0.0000 8.7360
Be Si Cl
1 1 2
direct
0.0000 0.0000 0.0000
0.5000 0.5000 0.1982
0.0000 0.0000 0.4057
0.5000 0.5000 0.8485
```

=====

Below is a relaxed structure of Ac3InGe, with properties calculated at the PBE level.

Properties
The calculation puts the volume at 42.88 Å³ per atom. For the energy above the most stable polymorph in this dataset, the calculation gives 270 meV/atom. As for the formation enthalpy at 0 K: -0.19 eV per atom. Its density of states at the Fermi level is 5.4 states/eV per cell. The total moment is 0.00 μB/f.u. The crystal system is cubic.

Cell and atoms, written as POSCAR:
```
Ac3InGe
1.0
5.9850 0.0000 0.0000
0.0000 5.9850 0.0000
0.0000 0.0000 5.9850
Ac In Ge
3 1 1
direct
0.0000 0.0000 0.5000
0.0000 0.5000 0.0000
0.5000 0.0000 0.0000
0.5000 0.5000 0.5000
0.0000 0.0000 0.0000
```

=====

Below is a relaxed structure of Os2RhAu, with properties calculated at the PBE level.

Properties
The calculation puts the volume at 15.43 Å³ per atom. For the energy above the most stable polymorph in this dataset, the calculation gives 433 meV/atom. As for the formation enthalpy at 0 K: 0.65 eV per atom. Its density of states at the Fermi level is 5.9 states/eV per cell. The total moment is 0.18 μB/f.u. The crystal system is orthorhombic.

Cell and atoms, written as POSCAR:
```
Os2RhAu
1.0
2.7464 0.0000 0.0000
0.0000 4.6743 0.0000
0.0000 0.0000 4.8076
Os Rh Au
2 1 1
direct
0.0000 0.0000 0.0000
0.5000 0.5000 0.0000
0.0000 0.5000 0.5000
0.5000 0.0000 0.5000
```